No. 1
LiSnRhAu | PBE-GGA | relaxed

Cell lengths 4.5222, 4.5222, 4.5222 Å; angles 60.00, 60.00, 60.00 degrees
Fractional coordinates of all 4 atoms:
Li 0.0000 0.0000 0.0000
Sn 0.5000 0.5000 0.5000
Rh 0.2500 0.2500 0.2500
Au 0.7500 0.7500 0.7500

Values from the calculation:
Relative energy among the computed polymorphs ... 25 meV/atom
VASP energy ... -18.118 eV for the cell shown
Density of states at the Fermi level ... 2.80 states/eV/f.u.
Energy of formation from the pure elements ... -37.9 kJ/mol of atoms

No. 2
HfTiTe2P | PBE-GGA | relaxed

Cell lengths 5.0639, 5.0639, 5.2135 Å; angles 90.00, 90.00, 90.00 degrees
Fractional coordinates of all 5 atoms:
Hf 0.0000 0.0000 0.0000
Ti 0.0000 0.0000 0.5000
Te 0.0000 0.5000 0.5000
Te 0.5000 0.0000 0.5000
P 0.5000 0.5000 0.0000

Values from the calculation:
E_form (uncorrected) ... 3.4 eV per formula unit
VASP energy ... -26.102 eV for the cell shown
Density of states at the Fermi level ... 5.22 states/eV/f.u.

No. 3
Ac3Sc5O12 | PBE-GGA | relaxed

Cell lengths 11.6508, 11.6508, 11.6508 Å; angles 109.47, 109.47, 109.47 degrees
Fractional coordinates of all 80 atoms:
Ac 0.1250 0.2500 0.3750
Ac 0.1250 0.3750 0.7500
Ac 0.2500 0.3750 0.1250
Ac 0.2500 0.8750 0.6250
Ac 0.3750 0.1250 0.2500
Ac 0.3750 0.7500 0.1250
Ac 0.6250 0.2500 0.8750
Ac 0.6250 0.8750 0.7500
Ac 0.7500 0.1250 0.3750
Ac 0.7500 0.6250 0.8750
Ac 0.8750 0.6250 0.2500
Ac 0.8750 0.7500 0.6250
Sc 0.0000 0.0000 0.0000
Sc 0.0000 0.0000 0.5000
Sc 0.0000 0.5000 0.0000
Sc 0.0000 0.5000 0.5000
Sc 0.1250 0.7500 0.8750
Sc 0.1250 0.8750 0.2500
Sc 0.2500 0.1250 0.8750
Sc 0.2500 0.6250 0.3750
Sc 0.3750 0.2500 0.6250
Sc 0.3750 0.6250 0.7500
Sc 0.5000 0.0000 0.0000
Sc 0.5000 0.0000 0.5000
Sc 0.5000 0.5000 0.0000
Sc 0.5000 0.5000 0.5000
Sc 0.6250 0.3750 0.2500
Sc 0.6250 0.7500 0.3750
Sc 0.7500 0.3750 0.6250
Sc 0.7500 0.8750 0.1250
Sc 0.8750 0.1250 0.7500
Sc 0.8750 0.2500 0.1250
O 0.0230 0.2010 0.1209
O 0.0230 0.3220 0.9022
O 0.0801 0.7010 0.6780
O 0.0801 0.8791 0.4022
O 0.0978 0.6209 0.4199
O 0.0978 0.9770 0.6780
O 0.1209 0.0230 0.2010
O 0.1209 0.5978 0.9199
O 0.1780 0.2010 0.5801
O 0.1780 0.4770 0.5978
O 0.2010 0.1209 0.0230
O 0.2010 0.5801 0.1780
O 0.2990 0.3220 0.9199
O 0.2990 0.4770 0.3791
O 0.3220 0.9022 0.0230
O 0.3220 0.9199 0.2990
O 0.3791 0.2990 0.4770
O 0.3791 0.5801 0.9022
O 0.4022 0.0801 0.8791
O 0.4022 0.8220 0.5230
O 0.4199 0.0978 0.6209
O 0.4199 0.8220 0.7990
O 0.4770 0.3791 0.2990
O 0.4770 0.5978 0.1780
O 0.5230 0.4022 0.8220
O 0.5230 0.6209 0.7010
O 0.5801 0.1780 0.2010
O 0.5801 0.9022 0.3791
O 0.5978 0.1780 0.4770
O 0.5978 0.9199 0.1209
O 0.6209 0.4199 0.0978
O 0.6209 0.7010 0.5230
O 0.6780 0.0801 0.7010
O 0.6780 0.0978 0.9770
O 0.7010 0.5230 0.6209
O 0.7010 0.6780 0.0801
O 0.7990 0.4199 0.8220
O 0.7990 0.8791 0.9770
O 0.8220 0.5230 0.4022
O 0.8220 0.7990 0.4199
O 0.8791 0.4022 0.0801
O 0.8791 0.9770 0.7990
O 0.9022 0.0230 0.3220
O 0.9022 0.3791 0.5801
O 0.9199 0.1209 0.5978
O 0.9199 0.2990 0.3220
O 0.9770 0.6780 0.0978
O 0.9770 0.7990 0.8791

Values from the calculation:
E_form (uncorrected) ... -69.2 eV per formula unit
VASP energy ... -690.681 eV for the cell shown
Density of states at the Fermi level ... 0.00 states/eV/f.u.

No. 4
TmGaSn | PBE-GGA | relaxed

Cell lengths 5.9550, 5.9550, 5.9550 Å; angles 144.64, 144.64, 50.87 degrees
Fractional coordinates of all 3 atoms:
Tm 0.0000 0.0000 0.0000
Ga 0.3301 0.3301 0.0000
Sn 0.6923 0.6923 0.0000

Values from the calculation:
VASP energy ... -12.492 eV for the cell shown
Density of states at the Fermi level ... 2.46 states/eV/f.u.
Energy of formation from the pure elements ... -31.9 kJ/mol of atoms

No. 5
Sr4SCl6 | PBE-GGA | relaxed

Cell lengths 9.8415, 9.8415, 7.0355 Å; angles 90.00, 90.00, 90.00 degrees
Fractional coordinates of all 22 atoms:
Sr 0.0063 0.2500 0.0551
Sr 0.2500 0.0063 0.5551
Sr 0.2500 0.4937 0.5551
Sr 0.4937 0.2500 0.0551
Sr 0.5063 0.7500 0.9449
Sr 0.7500 0.5063 0.4449
Sr 0.7500 0.9937 0.4449
Sr 0.9937 0.7500 0.9449
S 0.2500 0.7500 0.7500
S 0.7500 0.2500 0.2500
Cl 0.0363 0.5363 0.2500
Cl 0.0363 0.9637 0.2500
Cl 0.2500 0.2500 0.3088
Cl 0.2500 0.2500 0.8088
Cl 0.4637 0.5363 0.2500
Cl 0.4637 0.9637 0.2500
Cl 0.5363 0.0363 0.7500
Cl 0.5363 0.4637 0.7500
Cl 0.7500 0.7500 0.1912
Cl 0.7500 0.7500 0.6912
Cl 0.9637 0.0363 0.7500
Cl 0.9637 0.4637 0.7500

Values from the calculation:
E_form (uncorrected) ... -26.4 eV per formula unit
VASP energy ... -96.677 eV for the cell shown
Density of states at the Fermi level ... 0.00 states/eV/f.u.

No. 6
SmCoRu | PBE-GGA | relaxed

Cell lengths 4.0486, 4.0486, 4.1615 Å; angles 90.00, 90.00, 120.00 degrees
Fractional coordinates of all 3 atoms:
Sm 0.0000 0.0000 0.0000
Co 0.3333 0.6667 0.5000
Ru 0.6667 0.3333 0.5000

Values from the calculation:
Relative energy among the computed polymorphs ... 86 meV/atom
VASP energy ... -21.322 eV for the cell shown
Density of states at the Fermi level ... 3.38 states/eV/f.u.
Energy of formation from the pure elements ... -7.1 kJ/mol of atoms

No. 7
Ba2GeSe | PBE-GGA | relaxed

Cell lengths 5.7654, 5.7654, 5.7654 Å; angles 60.00, 60.00, 60.00 degrees
Fractional coordinates of all 4 atoms:
Ba 0.2500 0.2500 0.2500
Ba 0.7500 0.7500 0.7500
Ge 0.0000 0.0000 0.0000
Se 0.5000 0.5000 0.5000

Values from the calculation:
E_form (uncorrected) ... -3.4 eV per formula unit
Relative energy among the computed polymorphs ... 443 meV/atom
VASP energy ... -15.343 eV for the cell shown
Density of states at the Fermi level ... 2.99 states/eV/f.u.

No. 8
CePmTaO6 | PBE-GGA | relaxed

Cell lengths 5.6645, 5.6645, 9.6862 Å; angles 90.00, 90.00, 120.00 degrees
Fractional coordinates of all 18 atoms:
Ce 0.3333 0.6667 0.2500
Ce 0.6667 0.3333 0.7500
Pm 0.0000 0.0000 0.0000
Pm 0.0000 0.0000 0.5000
Ta 0.3333 0.6667 0.7500
Ta 0.6667 0.3333 0.2500
O 0.0327 0.3696 0.6378
O 0.0327 0.6631 0.8622
O 0.3369 0.3696 0.8622
O 0.3369 0.9673 0.6378
O 0.3696 0.0327 0.1378
O 0.3696 0.3369 0.3622
O 0.6304 0.6631 0.6378
O 0.6304 0.9673 0.8622
O 0.6631 0.0327 0.3622
O 0.6631 0.6304 0.1378
O 0.9673 0.3369 0.1378
O 0.9673 0.6304 0.3622

Values from the calculation:
E_form (uncorrected) ... -28.7 eV per formula unit
VASP energy ... -161.888 eV for the cell shown
Density of states at the Fermi level ... 0.00 states/eV/f.u.